# Pm2TmCd (PBE-GGA, relaxed)
data_Pm2TmCd
_chemical_formula_sum 'Pm2 Tm1 Cd1'
_symmetry_space_group_name_H-M 'P 4/m m m'
_symmetry_Int_Tables_number 123
_symmetry_space_group_name_Hall '-P 4 2'
_cell_length_a 3.6732
_cell_length_b 3.6732
_cell_length_c 8.9826
_cell_angle_alpha 90.00
_cell_angle_beta 90.00
_cell_angle_gamma 90.00
loop_
_atom_site_label
_atom_site_type_symbol
_atom_site_fract_x
_atom_site_fract_y
_atom_site_fract_z
_atom_site_occupancy
Pm1 Pm 0.0000 0.0000 0.2298 1
Tm1 Tm 0.5000 0.5000 0.5000 1
Cd1 Cd 0.5000 0.5000 0.0000 1
# Polymorph energy (0 for the lowest one) in meV/atom: 21
# Energy in eV/atom: -3.854